(1)
Density functional theory data (PBE) for an optimized crystal structure of CoTcNi2.

The structure belongs to space group Cm (No. 8); the cell edges are 8.4521, 2.5489 and 4.4307 Å and the angles 90.00°, 99.78° and 90.00°. The asymmetric unit holds Co at (0.0000, 0.0000, 0.0000), Tc at (0.2480, 0.0000, 0.7598), Ni at (0.2455, 0.5000, 0.2573) and Ni at (0.4952, 0.0000, 0.4970).

The value obtained for the formation energy is 0.2 eV per formula unit. The polymorph energy (0 for the lowest one) comes out at 25.1 meV/atom. The total moment comes out at 0.3105 μB per atom.


(2)
Density functional theory data (PBE) for an optimized crystal structure of BeCrSb2I.

The structure belongs to space group P4/mmm (No. 123); the cell edges are 4.7980, 4.7980 and 5.2840 Å and the angles 90.00°, 90.00° and 90.00°. The asymmetric unit holds Be at (0.0000, 0.0000, 0.0000), Cr at (0.5000, 0.5000, 0.5000), Sb at (0.0000, 0.5000, 0.0000) and I at (0.0000, 0.0000, 0.5000).

For the energy relative to the elements, uncorrected, the calculation gives 1196 meV per atom. The polymorph energy (0 for the lowest one) comes out at 307.2 meV/atom. The total moment comes out at 0.0682 μB per atom.


(3)
Density functional theory data (PBE) for an optimized crystal structure of Mn2VI8.

The structure belongs to space group C2/m (No. 12); the cell edges are 13.9354, 9.7729 and 7.1868 Å and the angles 90.00°, 92.61° and 90.00°. The asymmetric unit holds Mn at (0.2047, 0.0000, 0.1588), V at (0.0000, 0.0000, 0.0000), I at (0.0820, 0.2015, 0.2319), I at (0.1255, 0.5000, 0.6981) and I at (0.1647, 0.0000, 0.7904).

For the energy relative to the elements, uncorrected, the calculation gives -343 meV per atom. The total moment comes out at 1.0001 μB per atom.


(4)
Density functional theory data (PBE) for an optimized crystal structure of YCrS2Cl.

The structure belongs to space group P4/mmm (No. 123); the cell edges are 4.7316, 4.7316 and 4.5395 Å and the angles 90.00°, 90.00° and 90.00°. The asymmetric unit holds Y at (0.0000, 0.0000, 0.0000), Cr at (0.5000, 0.5000, 0.5000), S at (0.0000, 0.5000, 0.5000) and Cl at (0.5000, 0.5000, 0.0000).

For the energy relative to the elements, uncorrected, the calculation gives -916 meV per atom. The polymorph energy (0 for the lowest one) comes out at 0.0 meV/atom. The total moment comes out at 0.7134 μB per atom.


(5)
Density functional theory data (PBE) for an optimized crystal structure of SrCu2Tc.

The structure belongs to space group Cmmm (No. 65); the cell edges are 6.8061, 6.8662 and 2.9604 Å and the angles 90.00°, 90.00° and 90.00°. The asymmetric unit holds Sr at (0.0000, 0.0000, 0.0000), Cu at (0.2500, 0.2500, 0.5000) and Tc at (0.0000, 0.5000, 0.0000).

The value obtained for the formation energy is 2.4 eV per formula unit. The polymorph energy (0 for the lowest one) comes out at 283.5 meV/atom. The total moment comes out at 0.0724 μB per atom.


(6)
Density functional theory data (PBE) for an optimized crystal structure of Hf3Cu3Sb4.

The structure belongs to space group I-43d (No. 220); the cell edges are 9.2628, 9.2628 and 9.2628 Å and the angles 90.00°, 90.00° and 90.00°. The asymmetric unit holds Hf at (0.0000, 0.2500, 0.3750), Cu at (0.0000, 0.2500, 0.8750) and Sb at (0.0873, 0.0873, 0.0873).

For the energy relative to the elements, uncorrected, the calculation gives -147 meV per atom. The total moment comes out at 0.0000 μB per atom.


(7)
Density functional theory data (PBE) for an optimized crystal structure of TiCuAu4.

The structure belongs to space group C2/m (No. 12); the cell edges are 6.2102, 6.2094 and 6.0015 Å and the angles 90.00°, 90.14° and 90.00°. The asymmetric unit holds Ti at (0.0000, 0.0000, 0.0000), Cu at (0.0000, 0.5000, 0.5000) and Au at (0.2500, 0.2495, 0.7430).

The value obtained for the formation energy is -0.1 eV per formula unit. The total moment comes out at 0.0000 μB per atom.


(8)
Density functional theory data (PBE) for an optimized crystal structure of CsSrInPb2.

The structure belongs to space group P4/mmm (No. 123); the cell edges are 5.9759, 5.9759 and 6.4441 Å and the angles 90.00°, 90.00° and 90.00°. The asymmetric unit holds Cs at (0.0000, 0.0000, 0.0000), Sr at (0.5000, 0.5000, 0.0000), In at (0.0000, 0.0000, 0.5000) and Pb at (0.0000, 0.5000, 0.5000).

The value obtained for the formation energy is 0.9 eV per formula unit. The total moment comes out at 0.0000 μB per atom.


(9)
Density functional theory data (PBE) for an optimized crystal structure of NaBi2Pb9.

The structure belongs to space group P4/mmm (No. 123); the cell edges are 5.9396, 5.9396 and 10.6973 Å and the angles 90.00°, 90.00° and 90.00°. The asymmetric unit holds Na at (0.0000, 0.0000, 0.0000), Bi at (0.0000, 0.0000, 0.3148), Pb at (0.0000, 0.5000, 0.1685), Pb at (0.0000, 0.5000, 0.5000), Pb at (0.5000, 0.5000, 0.0000) and Pb at (0.5000, 0.5000, 0.3339).

The value obtained for the formation energy is -0.1 eV per formula unit. The total moment comes out at 0.0000 μB per atom.


(10)
Density functional theory data (PBE) for an optimized crystal structure of Ga2CuAgTe2Se2.

The structure belongs to space group C2 (No. 5); the cell edges are 8.5136, 11.8115 and 6.0059 Å and the angles 90.00°, 134.34° and 90.00°. The asymmetric unit holds Ga at (0.0000, 0.0000, 0.0000), Ga at (0.0000, 0.2372, 0.5000), Cu at (0.0000, 0.5064, 0.0000), Ag at (0.0000, 0.7315, 0.5000), Te at (0.2371, 0.3759, 0.4843) and Se at (0.2345, 0.1138, 0.9695).

For the energy relative to the elements, uncorrected, the calculation gives -353 meV per atom. The total moment comes out at 0.0000 μB per atom.


(11)
Density functional theory data (PBE) for an optimized crystal structure of ScNi2Rh2.

The structure belongs to space group I4/mmm (No. 139); the cell edges are 3.6739, 3.6739 and 22.7338 Å and the angles 90.00°, 90.00° and 90.00°. The asymmetric unit holds Sc at (0.0000, 0.0000, 0.1270), Ni at (0.0000, 0.0000, 0.3244), Ni at (0.0000, 0.5000, 0.0000), Rh at (0.0000, 0.0000, 0.4267) and Rh at (0.0000, 0.5000, 0.2500).

The value obtained for the formation energy is -0.7 eV per formula unit. The polymorph energy (0 for the lowest one) comes out at 107.0 meV/atom. The total moment comes out at 0.2604 μB per atom.


(12)
Density functional theory data (PBE) for an optimized crystal structure of TmNiPd.

The structure belongs to space group P-6m2 (No. 187); the cell edges are 4.2227, 4.2227 and 3.5782 Å and the angles 90.00°, 90.00° and 120.00°. The asymmetric unit holds Tm at (0.0000, 0.0000, 0.0000), Ni at (0.6667, 0.3333, 0.5000) and Pd at (0.3333, 0.6667, 0.5000).

The value obtained for the formation energy is -1.7 eV per formula unit. The total moment comes out at 0.0002 μB per atom.


(13)
Density functional theory data (PBE) for an optimized crystal structure of CaCo2Ni.

The structure belongs to space group R-3m (No. 166, hexagonal axes); the cell edges are 4.0422, 4.0422 and 14.8478 Å and the angles 90.00°, 90.00° and 120.00°. The asymmetric unit holds Ca at (0.0000, 0.0000, 0.0000), Co at (0.0000, 0.0000, 0.1874) and Ni at (0.0000, 0.0000, 0.5000).

The value obtained for the formation energy is 0.3 eV per formula unit. The total moment comes out at 0.8599 μB per atom.


(14)
Density functional theory data (PBE) for an optimized crystal structure of LaPmHo2Tm4.

The structure belongs to space group P2/m (No. 10); the cell edges are 7.1322, 9.9400 and 7.1393 Å and the angles 90.00°, 90.05° and 90.00°. The asymmetric unit holds La at (0.0000, 0.0000, 0.0000), La at (0.5000, 0.0000, 0.0000), Pm at (0.0000, 0.0000, 0.5000), Pm at (0.0000, 0.5000, 0.0000), Ho at (0.0000, 0.5000, 0.5000), Ho at (0.5000, 0.0000, 0.5000), Ho at (0.5000, 0.5000, 0.0000), Ho at (0.5000, 0.5000, 0.5000), Tm at (0.2515, 0.2539, 0.7467) and Tm at (0.2518, 0.2538, 0.2532).

The value obtained for the formation energy is 0.2 eV per formula unit. The total moment comes out at 0.0000 μB per atom.


(15)
Density functional theory data (PBE) for an optimized crystal structure of CeSmIn4.

The structure belongs to space group Imm2 (No. 44); the cell edges are 4.7715, 7.4461 and 9.1641 Å and the angles 90.00°, 90.00° and 90.00°. The asymmetric unit holds Ce at (0.0000, 0.0000, 0.0000), Sm at (0.0000, 0.5000, 0.1042), In at (0.0000, 0.2071, 0.3893) and In at (0.0000, 0.2922, 0.7091).

The value obtained for the formation energy is -2.4 eV per formula unit. The polymorph energy (0 for the lowest one) comes out at 0.0 meV/atom. The total moment comes out at 0.1838 μB per atom.


(16)
Density functional theory data (PBE) for an optimized crystal structure of LiCdGa.

The structure belongs to space group Pmmm (No. 47); the cell edges are 3.2025, 4.5486 and 4.5645 Å and the angles 90.00°, 90.00° and 90.00°. The asymmetric unit holds Li at (0.0000, 0.0000, 0.0000), Cd at (0.0000, 0.5000, 0.5000) and Ga at (0.5000, 0.0000, 0.5000).

The value obtained for the formation energy is -0.1 eV per formula unit. The polymorph energy (0 for the lowest one) comes out at 210.9 meV/atom. The total moment comes out at 0.0000 μB per atom.